A plane-wave DFT calculation with meta-GGA SCAN was carried out for a crystal of MnCdPt relaxed with PBEsol.

Cell and atoms, written as CIF:
```
data_MnCdPt
_space_group_name_H-M_alt 'P 3 m 1'
_space_group_IT_number 156
_cell_length_a 2.8881
_cell_length_b 2.8881
_cell_length_c 6.6211
_cell_angle_alpha 90.00
_cell_angle_beta 90.00
_cell_angle_gamma 120.00
loop_
_space_group_symop_operation_xyz
'x,y,z'
'-y,x-y,z'
'-x+y,-x,z'
'-y,-x,z'
'-x+y,y,z'
'x,x-y,z'
loop_
_atom_site_label
_atom_site_type_symbol
_atom_site_fract_x
_atom_site_fract_y
_atom_site_fract_z
Mn1 Mn 0.0000 0.0000 0.0000
Cd1 Cd 0.6667 0.3333 0.3443
Pt1 Pt 0.3333 0.6667 0.6987
```

Properties
For the calculated formation energy, the calculation gives -0.230 eV/atom. Its electronic total energy is -1.464 Ha/atom.